1.
CeEuPdRh | PBE | relaxed

It has space group F-43m (No. 216), with a = 7.080 Å, b = 7.080 Å, c = 7.080 Å, α = 90.00°, β = 90.00° and γ = 90.00°. The asymmetric unit holds Ce at (0.000, 0.000, 0.000), Eu at (0.000, 0.000, 0.500), Pd at (0.250, 0.250, 0.750) and Rh at (0.250, 0.250, 0.250).

The calculation puts the magnetization at 29.7 μB per cell. For the volume, the calculation gives 354.86 Å³ per cell. The energy of formation is -2.4 eV/f.u.

***

2.
CeEuPdRu | PBE | relaxed

It has space group F-43m (No. 216), with a = 7.031 Å, b = 7.031 Å, c = 7.031 Å, α = 90.00°, β = 90.00° and γ = 90.00°. The asymmetric unit holds Ce at (0.000, 0.000, 0.000), Eu at (0.000, 0.000, 0.500), Pd at (0.250, 0.250, 0.250) and Ru at (0.250, 0.250, 0.750).

The calculation puts the magnetization at 27.6 μB per cell. For the volume, the calculation gives 347.56 Å³ per cell. The energy of formation is -1.3 eV/f.u.

***

3.
CeEuSiPd | PBE | relaxed

It has space group F-43m (No. 216), with a = 7.227 Å, b = 7.227 Å, c = 7.227 Å, α = 90.00°, β = 90.00° and γ = 90.00°. The asymmetric unit holds Ce at (0.000, 0.000, 0.000), Eu at (0.000, 0.000, 0.500), Si at (0.250, 0.250, 0.250) and Pd at (0.250, 0.250, 0.750).

The calculation puts the raw formation energy at -50.7 kJ per mole of atoms. The calculation puts the magnetization at 29.5 μB per cell. For the volume, the calculation gives 377.39 Å³ per cell.

***

4.
CeEuSnPd | PBE | relaxed

It has space group F-43m (No. 216), with a = 7.529 Å, b = 7.529 Å, c = 7.529 Å, α = 90.00°, β = 90.00° and γ = 90.00°. The asymmetric unit holds Ce at (0.000, 0.000, 0.000), Eu at (0.000, 0.000, 0.500), Sn at (0.250, 0.250, 0.250) and Pd at (0.250, 0.250, 0.750).

The calculation puts the magnetization at 30.3 μB per cell. For the volume, the calculation gives 426.79 Å³ per cell. The energy of formation is -2.3 eV/f.u.

***

5.
CePmEu | PBE | relaxed

It has space group I4mm (No. 107), with a = 3.626 Å, b = 3.626 Å, c = 15.814 Å, α = 90.00°, β = 90.00° and γ = 90.00°. The asymmetric unit holds Ce at (0.000, 0.000, 0.000), Pm at (0.000, 0.000, 0.349) and Eu at (0.000, 0.000, 0.669).

The calculation puts the magnetization at 16.8 μB per cell. For the volume, the calculation gives 207.87 Å³ per cell. The energy of formation is 0.4 eV/f.u.

***

6.
Ce4PmEu | PBE | relaxed

It has space group F-43m (No. 216), with a = 9.077 Å, b = 9.077 Å, c = 9.077 Å, α = 90.00°, β = 90.00° and γ = 90.00°. The asymmetric unit holds Ce at (0.120, 0.120, 0.380), Pm at (0.250, 0.250, 0.750) and Eu at (0.000, 0.000, 0.000).

The calculation puts the magnetization at 10.9 μB per cell. For the volume, the calculation gives 747.76 Å³ per cell. The energy of formation is 1.5 eV/f.u.